! BaMgIr, relaxed, DFT PBE; values from VASP
&SYSTEM
  ibrav = 0, nat = 3, ntyp = 3
/
ATOMIC_SPECIES
Ba 137.33 Ba.upf
Mg 24.30 Mg.upf
Ir 192.22 Ir.upf
CELL_PARAMETERS angstrom
0.000 3.611 3.611
3.611 0.000 3.611
3.611 3.611 0.000
ATOMIC_POSITIONS crystal
Ba 0.000 0.000 0.000
Mg 0.250 0.250 0.250
Ir 0.750 0.750 0.750
! DFT formation energy = 0.92 eV/atom
! total magnetization = 0.0 μB per formula unit
! E = -3.2034 eV/atom



! LaRe2P, relaxed, DFT PBE; values from VASP
&SYSTEM
  ibrav = 0, nat = 4, ntyp = 3
/
ATOMIC_SPECIES
La 138.91 La.upf
Re 186.21 Re.upf
P 30.97 P.upf
CELL_PARAMETERS angstrom
3.014 0.000 0.000
0.000 3.014 0.000
0.000 0.000 7.823
ATOMIC_POSITIONS crystal
La 0.000 0.000 0.000
Re 0.500 0.500 0.330
Re 0.500 0.500 0.670
P 0.000 0.000 0.500
! DFT formation energy = 0.27 eV/atom
! total magnetization = 0.0 μB per formula unit
! E = -8.5406 eV/atom



! K2LaTmO4, relaxed, DFT PBE; values from VASP
&SYSTEM
  ibrav = 0, nat = 8, ntyp = 4
/
ATOMIC_SPECIES
K 39.10 K.upf
La 138.91 La.upf
Tm 168.93 Tm.upf
O 16.00 O.upf
CELL_PARAMETERS angstrom
6.202 0.000 0.000
0.000 3.572 0.000
-2.067 0.000 6.269
ATOMIC_POSITIONS crystal
K 0.000 0.000 0.000
K 0.500 0.500 0.000
La 0.000 0.500 0.500
Tm 0.500 0.000 0.500
O 0.247 0.000 0.688
O 0.285 0.500 0.315
O 0.715 0.500 0.685
O 0.753 0.000 0.312
! total magnetization = 0.0 μB per formula unit
! formation energy (no corrections) = -2.717 eV/atom
! E = -6.6451 eV/atom



! KB3O, relaxed, DFT PBE; values from VASP
&SYSTEM
  ibrav = 0, nat = 5, ntyp = 3
/
ATOMIC_SPECIES
K 39.10 K.upf
B 10.81 B.upf
O 16.00 O.upf
CELL_PARAMETERS angstrom
5.164 0.000 0.000
0.000 5.164 0.000
0.000 0.000 5.164
ATOMIC_POSITIONS crystal
K 0.000 0.000 0.000
B 0.000 0.000 0.500
B 0.000 0.500 0.000
B 0.500 0.000 0.000
O 0.500 0.500 0.500
! total magnetization = 0.0 μB per formula unit
! formation energy (no corrections) = 3.694 eV/atom
! E = -1.5234 eV/atom



! In2TeIr, relaxed, DFT PBE; values from VASP
&SYSTEM
  ibrav = 0, nat = 4, ntyp = 3
/
ATOMIC_SPECIES
In 114.82 In.upf
Te 127.60 Te.upf
Ir 192.22 Ir.upf
CELL_PARAMETERS angstrom
-2.237 2.237 4.310
2.237 -2.237 4.310
2.237 2.237 -4.310
ATOMIC_POSITIONS crystal
In 0.250 0.750 0.500
In 0.750 0.250 0.500
Te 0.000 0.000 0.000
Ir 0.500 0.500 0.000
! total magnetization = 0.0 μB per formula unit
! formation energy (no corrections) = 0.358 eV/atom
! E = -4.0115 eV/atom



! NdCu2Pd10, relaxed, DFT PBE; values from VASP
&SYSTEM
  ibrav = 0, nat = 13, ntyp = 3
/
ATOMIC_SPECIES
Nd 144.24 Nd.upf
Cu 63.55 Cu.upf
Pd 106.42 Pd.upf
CELL_PARAMETERS angstrom
0.000 6.405 6.406
2.588 0.000 6.406
2.588 6.405 0.000
ATOMIC_POSITIONS crystal
Nd 0.000 0.000 0.000
Cu 0.000 0.500 0.000
Cu 0.500 0.000 0.500
Pd 0.000 0.000 0.500
Pd 0.009 0.349 0.651
Pd 0.282 0.495 0.505
Pd 0.349 0.009 0.991
Pd 0.495 0.282 0.718
Pd 0.500 0.500 0.000
Pd 0.505 0.718 0.282
Pd 0.651 0.991 0.009
Pd 0.718 0.505 0.495
Pd 0.991 0.651 0.349
! DFT formation energy = -0.26 eV/atom
! total magnetization = 0.0 μB per formula unit
! E = -5.2538 eV/atom



! RbCd12Pt6, relaxed, DFT PBE; values from VASP
&SYSTEM
  ibrav = 0, nat = 19, ntyp = 3
/
ATOMIC_SPECIES
Rb 85.47 Rb.upf
Cd 112.41 Cd.upf
Pt 195.08 Pt.upf
CELL_PARAMETERS angstrom
6.288 3.630 3.159
-6.288 3.630 3.159
0.000 -7.261 3.159
ATOMIC_POSITIONS crystal
Rb 0.000 0.000 0.000
Cd 0.119 0.500 0.881
Cd 0.119 0.881 0.500
Cd 0.145 0.413 0.413
Cd 0.413 0.145 0.413
Cd 0.413 0.413 0.145
Cd 0.500 0.119 0.881
Cd 0.500 0.881 0.119
Cd 0.587 0.587 0.855
Cd 0.587 0.855 0.587
Cd 0.855 0.587 0.587
Cd 0.881 0.119 0.500
Cd 0.881 0.500 0.119
Pt 0.267 0.267 0.687
Pt 0.267 0.687 0.267
Pt 0.313 0.733 0.733
Pt 0.687 0.267 0.267
Pt 0.733 0.313 0.733
Pt 0.733 0.733 0.313
! DFT formation energy = -0.20 eV/atom
! total magnetization = 0.0 μB per formula unit
! E = -2.7354 eV/atom



! Ba2NaSn9, relaxed, DFT PBE; values from VASP
&SYSTEM
  ibrav = 0, nat = 12, ntyp = 3
/
ATOMIC_SPECIES
Ba 137.33 Ba.upf
Na 22.99 Na.upf
Sn 118.71 Sn.upf
CELL_PARAMETERS angstrom
3.277 1.892 10.433
-3.277 1.892 10.433
0.000 -3.784 10.433
ATOMIC_POSITIONS crystal
Ba 0.139 0.139 0.139
Ba 0.861 0.861 0.861
Na 0.000 0.000 0.000
Sn 0.072 0.590 0.590
Sn 0.340 0.340 0.340
Sn 0.410 0.410 0.928
Sn 0.410 0.928 0.410
Sn 0.500 0.500 0.500
Sn 0.590 0.072 0.590
Sn 0.590 0.590 0.072
Sn 0.660 0.660 0.660
Sn 0.928 0.410 0.410
! DFT formation energy = -0.26 eV/atom
! total magnetization = 0.0 μB per formula unit
! E = -3.6920 eV/atom